A relaxed structure of Cu2HgIr. Source: the Alexandria database, functional PBE. Values from VASP.

Structure (Quantum ESPRESSO input):
```
&SYSTEM
  ibrav = 0, nat = 8, ntyp = 3
/
ATOMIC_SPECIES
Cu 63.55 Cu.upf
Hg 200.59 Hg.upf
Ir 192.22 Ir.upf
CELL_PARAMETERS angstrom
3.909 0.000 0.000
0.000 3.909 0.000
0.000 0.000 7.851
ATOMIC_POSITIONS angstrom
Cu 0.000 0.000 0.000
Cu 0.000 1.954 1.963
Cu 1.954 0.000 5.888
Cu 1.954 1.954 3.926
Hg 0.000 1.954 5.888
Hg 1.954 0.000 1.963
Ir 0.000 0.000 3.926
Ir 1.954 1.954 0.000
```

Properties
Calculated formation energy, eV/atom: 0.31
E above lowest polymorph, eV per atom: 0.069
Total DFT energy (no corrections), eV/atom: -4.03